# 1
KInN2F | GGA-PBE | optimized geometry

Its space group is P4/mmm. The total energy comes out at -3.382 eV per atom. As for the theoretical density: 2.5 g/cm3. Its density of states at the Fermi level is 2.104 states/eV/f.u. The excess energy over the best structure of this formula in the dataset is 978.7 meV/atom.

```
5
Lattice="-4.263 -1.498 -2.641 -1.872 -2.287 4.319 -2.190 4.087 1.216" Properties=species:S:1:pos:R:3 pbc="T T T"
N -0.936 -1.144 2.160
N -2.131 -0.749 -1.320
F -1.095 2.043 0.608
In -4.162 0.151 1.447
K 0.000 0.000 0.000
```



# 2
KInN2F | GGA-PBE | optimized geometry

Its space group is P4/mmm. The total energy comes out at -4.361 eV per atom. As for the theoretical density: 3.8 g/cm3. Its density of states at the Fermi level is 1.961 states/eV/f.u. The excess energy over the best structure of this formula in the dataset is 0.0 meV/atom.

```
5
Lattice="4.349 0.000 0.000 0.000 4.349 0.000 0.000 0.000 4.620" Properties=species:S:1:pos:R:3 pbc="T T T"
In 0.000 0.000 0.000
N 0.000 2.175 0.000
N 2.175 0.000 0.000
K 2.175 2.175 2.310
F 0.000 0.000 2.310
```